Below is a geometry-optimized UBBr structure, with properties calculated at the PBE level.

## Properties
- density (g/cm³) = 8.28
- SG = C2/m
- formation energy without anion corrections (eV per atom) = -0.5737

a b c (Å): 3.3597 4.0550 10.9868
angles (deg): 103.15 90.00 114.47
Atoms (fractional coordinates):
B 0.7948 0.5896 0.0028
B 0.2052 0.4104 0.9972
U 0.4538 0.9077 0.8810
Br 0.2905 0.5810 0.3181
U 0.5462 0.0923 0.1190
Br 0.7095 0.4190 0.6819

=====

Below is a geometry-optimized V3BBr structure, with properties calculated at the PBE level.

## Properties
- density (g/cm³) = 5.67
- SG = Pm-3m
- distance to the lowest polymorph of the same formula (meV/atom) = 0
- formation energy without anion corrections (eV per atom) = 0.5606

a b c (Å): 4.1482 4.1482 4.1482
angles (deg): 90.00 90.00 90.00
Atoms (fractional coordinates):
Br 0.5000 0.5000 0.5000
V 0.0000 0.0000 0.5000
V 0.0000 0.5000 0.0000
V 0.5000 0.0000 0.0000
B 0.0000 0.0000 0.0000

=====

Below is a geometry-optimized VB2Br structure, with properties calculated at the PBE level.

## Properties
- density (g/cm³) = 3.97
- SG = I-42d
- formation energy without anion corrections (eV per atom) = 1.3540

a b c (Å): 5.2284 5.2284 5.9506
angles (deg): 63.94 63.94 90.00
Atoms (fractional coordinates):
B 0.3750 0.4047 0.7500
B 0.1547 0.6250 0.2500
Br 0.0000 0.0000 0.0000
B 0.5953 0.1250 0.2500
V 0.2500 0.7500 0.5000
Br 0.7500 0.2500 0.5000
V 0.5000 0.5000 0.0000
B 0.8750 0.8453 0.7500